Record 1
Computed, not measured: a relaxed CuTc2Pt crystal at the PBE-GGA level of DFT.

POSCAR file:
```
CuTc2Pt
1.0
-1.852 1.852 4.132
1.852 -1.852 4.132
1.852 1.852 -4.132
Cu Tc Pt
1 2 1
Direct
0.000 0.000 0.000
0.250 0.750 0.500
0.750 0.250 0.500
0.500 0.500 0.000
```

Output
The calculation puts the formation energy at 0.029 eV per atom. Its space-group type is I4/mmm (139). The calculation puts the total magnetic moment at 0.0 μB per cell. The calculation puts the energy above the most stable polymorph in this dataset at 66 meV/atom.


Record 2
Computed, not measured: a relaxed CuTc2Pt crystal at the PBE-GGA level of DFT.

POSCAR file:
```
CuTc2Pt
1.0
2.585 -4.147 0.000
2.585 4.147 0.000
0.000 0.000 2.667
Cu Tc Pt
1 2 1
Direct
0.000 0.000 0.000
0.000 0.500 0.500
0.500 0.000 0.500
0.500 0.500 0.000
```

Output
The calculation puts the formation energy at 0.090 eV per atom. Its space-group type is Cmmm (65). The calculation puts the total magnetic moment at 0.0 μB per cell. The calculation puts the energy above the most stable polymorph in this dataset at 127 meV/atom.


Record 3
Computed, not measured: a relaxed CuTcPt crystal at the PBE-GGA level of DFT.

POSCAR file:
```
CuTcPt
1.0
2.732 0.000 0.000
-1.366 2.366 0.000
0.000 0.000 6.610
Cu Tc Pt
1 1 1
Direct
0.000 0.000 0.000
0.667 0.333 0.673
0.333 0.667 0.334
```

Output
The calculation puts the formation energy at 0.037 eV per atom. Its space-group type is P3m1 (156). The calculation puts the total magnetic moment at 0.0 μB per cell. The calculation puts the energy above the most stable polymorph in this dataset at 14 meV/atom.


Record 4
Computed, not measured: a relaxed CuTc2Pt crystal at the PBE-GGA level of DFT.

POSCAR file:
```
CuTc2Pt
1.0
4.681 0.000 0.000
0.000 4.681 0.000
0.000 0.000 2.662
Cu Tc Pt
1 2 1
Direct
0.000 0.000 0.000
0.000 0.500 0.500
0.500 0.000 0.500
0.500 0.500 0.000
```

Output
The calculation puts the formation energy at 0.305 eV per atom. Its space-group type is P4/mmm (123). The calculation puts the total magnetic moment at 0.0 μB per cell. The calculation puts the energy above the most stable polymorph in this dataset at 342 meV/atom.